GGA-PBE TbYSe, relaxed; raw total energy = -5.825 eV/atom; formation energy from raw total energies = -0.965 eV per atom; magnetic moment = 0.00 μB/f.u.; volume = 80.1 Å³ per cell
1.0
-1.212 -2.975 1.624
1.110 -1.978 -2.796
5.548 1.720 3.304
Tb Y Se
1 1 1
direct
0.978 0.978 0.957
0.689 0.689 0.378
0.333 0.333 0.665